(1)
First-principles (GGA-PBE) data for crystalline MgTa2Cr at its relaxed geometry, as listed in Alexandria via LeMat-Bulk.

Cell: 4.481 2.812 5.551 Å, 78.29 90.00 90.00°
Element x y z (fractional)
Cr  0.000  0.523  0.469
Mg  0.500  0.685  0.742
Ta  0.000  0.987  0.022
Ta  0.500  0.305  0.267

Mass density in g cm⁻³: 10.63
Magnetization in μB/f.u.: 0.00
Energy of formation in meV per atom: 336

=====

(2)
First-principles (GGA-PBE) data for crystalline YMgTa2Cr at its relaxed geometry, as listed in Alexandria via LeMat-Bulk.

Cell: 4.627 5.075 4.627 Å, 90.00 90.00 90.00°
Element x y z (fractional)
Y  0.500  0.500  0.500
Cr  0.000  0.000  0.000
Mg  0.000  0.500  0.000
Ta  0.000  0.000  0.500
Ta  0.500  0.000  0.000

Mass density in g cm⁻³: 8.06
Magnetization in μB/f.u.: 0.00
Energy of formation in meV per atom: 632